<a>
Compound: Mg14CoC
Source: the Alexandria database
Functional: PBE-GGA
Structure: relaxed

Properties
- SG = No. 38
- crystal system = orthorhombic

CIF file:
```
data_Mg14CoC
_symmetry_space_group_name_H-M 'P 1'
_symmetry_Int_Tables_number 1
_cell_length_a 6.444
_cell_length_b 6.444
_cell_length_c 8.289
_cell_angle_alpha 90.00
_cell_angle_beta 90.00
_cell_angle_gamma 104.10
loop_
_symmetry_equiv_pos_as_xyz
'x,y,z'
loop_
_atom_site_label
_atom_site_fract_x
_atom_site_fract_y
_atom_site_fract_z
Mg1 0.936 0.064 0.785
Mg2 0.793 0.592 0.678
Mg3 0.607 0.778 0.000
Mg4 0.408 0.207 0.678
Mg5 0.936 0.064 0.215
Mg6 0.670 0.971 0.500
Mg7 0.222 0.393 0.000
Mg8 0.156 0.844 0.000
Mg9 0.687 0.313 0.000
Mg10 0.793 0.592 0.322
Mg11 0.298 0.702 0.308
Mg12 0.029 0.330 0.500
Mg13 0.408 0.207 0.322
Mg14 0.298 0.702 0.692
Co1 0.081 0.919 0.500
C1 0.678 0.322 0.500
```



<b>
Compound: Mg14CoC
Source: the Alexandria database
Functional: PBE-GGA
Structure: relaxed

Properties
- SG = No. 187
- crystal system = hexagonal

CIF file:
```
data_Mg14CoC
_symmetry_space_group_name_H-M 'P 1'
_symmetry_Int_Tables_number 1
_cell_length_a 6.214
_cell_length_b 6.214
_cell_length_c 9.514
_cell_angle_alpha 90.00
_cell_angle_beta 90.00
_cell_angle_gamma 120.00
loop_
_symmetry_equiv_pos_as_xyz
'x,y,z'
loop_
_atom_site_label
_atom_site_fract_x
_atom_site_fract_y
_atom_site_fract_z
Co1 0.000 0.000 0.000
Mg1 0.689 0.845 0.745
Mg2 0.155 0.311 0.745
Mg3 0.499 0.997 0.000
Mg4 0.155 0.845 0.255
Mg5 0.502 0.498 0.500
Mg6 0.155 0.845 0.745
Mg7 0.667 0.333 0.249
Mg8 0.499 0.501 0.000
Mg9 0.667 0.333 0.751
Mg10 0.502 0.003 0.500
Mg11 0.689 0.845 0.255
Mg12 0.997 0.498 0.500
Mg13 0.155 0.311 0.255
Mg14 0.003 0.501 0.000
C1 0.000 0.000 0.500
```



Of the structures shown above, <b> is the least stable.